First-principles (PBE-GGA) data for a relaxed MgSc3Tl crystal, as listed in Alexandria via LeMat-Bulk.

## Properties
DOS at the Fermi energy ... 5.83 states/eV/f.u.
VASP energy ... -4.7617 eV per atom
Relative energy among the computed polymorphs ... 0.0000 eV/atom
Energy of formation ... -171 meV per atom

```
MgSc3Tl
1.0
5.968 5.955 6.838
-7.112 -1.581 -8.047
-3.501 -0.058 3.106
Sc Tl Mg
6 2 2
Cartesian
4.433 5.561 6.865 Sc
-0.736 2.582 0.981 Sc
-3.909 1.734 0.916 Sc
-6.473 0.257 -2.001 Sc
1.827 4.059 3.899 Sc
-9.079 -1.245 -4.968 Sc
-3.452 1.018 -2.109 Tl
-1.194 3.299 4.007 Tl
-6.020 -0.462 -5.031 Mg
1.374 4.778 6.928 Mg
```